VASP calculation (PBE with a Hubbard U) on crystalline Li2MoP2O7 at its relaxed geometry.

The final energy is -237.48 eV per cell. As for the density of states at the Fermi level: 15.76 states/eV/cell.

It has space group R32 (No. 155, hexagonal axes), with a = 5.1459 Å, b = 5.1459 Å, c = 20.9633 Å, α = 90.00°, β = 90.00° and γ = 120.00°. The inequivalent atoms are Li at (0.0000, 0.0000, 0.2360), Mo at (0.0000, 0.0000, 0.5000), P at (0.0000, 0.0000, 0.0761), O at (0.0000, 0.0000, 0.0000) and O at (0.0276, 0.2988, 0.0969).